# PBE ScAgSe2, relaxed
# Fermi-level density of states = 1.47 states/eV/cell
# Uncorrected formation energy = -0.817 eV/atom
data_ScAgSe2
_cell_length_a 3.505
_cell_length_b 3.480
_cell_length_c 7.138
_cell_angle_alpha 90.00
_cell_angle_beta 99.84
_cell_angle_gamma 90.00
_space_group_name_H-M_alt 'P 1 2/m 1'
_space_group_IT_number 10
loop_
_space_group_symop_operation_xyz
'x,y,z'
'-x,-y,-z'
'-x,y,-z'
'x,-y,z'
loop_
_atom_site_label
_atom_site_type_symbol
_atom_site_fract_x
_atom_site_fract_y
_atom_site_fract_z
Sc1 Sc 0.000 0.000 0.000
Ag1 Ag 0.000 0.000 0.500
Se1 Se 0.353 0.500 0.779

***

# PBE ScAg2Se, relaxed
# Fermi-level density of states = 4.27 states/eV/cell
# Uncorrected formation energy = -0.512 eV/atom
data_ScAg2Se
_cell_length_a 11.736
_cell_length_b 3.881
_cell_length_c 3.732
_cell_angle_alpha 90.00
_cell_angle_beta 97.96
_cell_angle_gamma 90.00
_space_group_name_H-M_alt 'C 1 2/m 1'
_space_group_IT_number 12
loop_
_space_group_symop_operation_xyz
'x,y,z'
'-x,-y,-z'
'-x,y,-z'
'x,-y,z'
'x+1/2,y+1/2,z'
'-x+1/2,-y+1/2,-z'
'-x+1/2,y+1/2,-z'
'x+1/2,-y+1/2,z'
loop_
_atom_site_label
_atom_site_type_symbol
_atom_site_fract_x
_atom_site_fract_y
_atom_site_fract_z
Sc1 Sc 0.000 0.000 0.000
Ag1 Ag 0.227 0.500 0.744
Se1 Se 0.000 0.500 0.500

***

# PBE ScAg2Se, relaxed
# Fermi-level density of states = 3.52 states/eV/cell
# Uncorrected formation energy = -0.488 eV/atom
data_ScAg2Se
_cell_length_a 5.471
_cell_length_b 5.515
_cell_length_c 5.426
_cell_angle_alpha 90.00
_cell_angle_beta 90.00
_cell_angle_gamma 90.00
_space_group_name_H-M_alt 'C m m m'
_space_group_IT_number 65
_space_group_name_Hall '-C 2 2'
loop_
_atom_site_label
_atom_site_type_symbol
_atom_site_fract_x
_atom_site_fract_y
_atom_site_fract_z
Sc1 Sc 0.000 0.000 0.000
Ag1 Ag 0.000 0.248 0.500
Se1 Se 0.000 0.500 0.000

***

# PBE ScAg2Se, relaxed
# Fermi-level density of states = 3.89 states/eV/cell
# Uncorrected formation energy = -0.578 eV/atom
data_ScAg2Se
_cell_length_a 3.606
_cell_length_b 3.593
_cell_length_c 12.649
_cell_angle_alpha 90.00
_cell_angle_beta 90.00
_cell_angle_gamma 90.00
_space_group_name_H-M_alt 'A m m 2'
_space_group_IT_number 38
loop_
_space_group_symop_operation_xyz
'x,y,z'
'-x,-y,z'
'-x,y,z'
'x,-y,z'
'x,y+1/2,z+1/2'
'-x,-y+1/2,z+1/2'
'-x,y+1/2,z+1/2'
'x,-y+1/2,z+1/2'
loop_
_atom_site_label
_atom_site_type_symbol
_atom_site_fract_x
_atom_site_fract_y
_atom_site_fract_z
Sc1 Sc 0.000 0.000 0.000
Ag1 Ag 0.000 0.000 0.762
Ag2 Ag 0.500 0.000 0.355
Se1 Se 0.500 0.000 0.580

***

# PBE ScAgSe2, relaxed
# Fermi-level density of states = 3.21 states/eV/cell
# Uncorrected formation energy = -0.710 eV/atom
data_ScAgSe2
_cell_length_a 3.838
_cell_length_b 3.838
_cell_length_c 11.283
_cell_angle_alpha 90.00
_cell_angle_beta 90.00
_cell_angle_gamma 90.00
_space_group_name_H-M_alt 'I -4 m 2'
_space_group_IT_number 119
_space_group_name_Hall 'I -4 -2'
loop_
_atom_site_label
_atom_site_type_symbol
_atom_site_fract_x
_atom_site_fract_y
_atom_site_fract_z
Sc1 Sc 0.000 0.000 0.000
Ag1 Ag 0.000 0.500 0.250
Se1 Se 0.000 0.000 0.500
Se2 Se 0.000 0.500 0.750

***

# PBE SmScAg2Se4, relaxed
# Uncorrected formation energy = -1.085 eV/atom
data_SmScAg2Se4
_cell_length_a 7.037
_cell_length_b 4.116
_cell_length_c 7.138
_cell_angle_alpha 90.00
_cell_angle_beta 112.24
_cell_angle_gamma 90.00
_space_group_name_H-M_alt 'P 1 2/m 1'
_space_group_IT_number 10
loop_
_space_group_symop_operation_xyz
'x,y,z'
'-x,-y,-z'
'-x,y,-z'
'x,-y,z'
loop_
_atom_site_label
_atom_site_type_symbol
_atom_site_fract_x
_atom_site_fract_y
_atom_site_fract_z
Sm1 Sm 0.000 0.000 0.000
Sc1 Sc 0.000 0.500 0.500
Ag1 Ag 0.500 0.000 0.500
Ag2 Ag 0.500 0.500 0.000
Se1 Se 0.239 0.000 0.741
Se2 Se 0.241 0.500 0.274

***

# PBE Sc2Ag3SnSe6, relaxed
# Fermi-level density of states = 4.48 states/eV/cell
# Uncorrected formation energy = -0.776 eV/atom
data_Sc2Ag3SnSe6
_cell_length_a 17.784
_cell_length_b 3.973
_cell_length_c 7.977
_cell_angle_alpha 90.00
_cell_angle_beta 103.18
_cell_angle_gamma 90.00
_space_group_name_H-M_alt 'C 1 2/m 1'
_space_group_IT_number 12
loop_
_space_group_symop_operation_xyz
'x,y,z'
'-x,-y,-z'
'-x,y,-z'
'x,-y,z'
'x+1/2,y+1/2,z'
'-x+1/2,-y+1/2,-z'
'-x+1/2,y+1/2,-z'
'x+1/2,-y+1/2,z'
loop_
_atom_site_label
_atom_site_type_symbol
_atom_site_fract_x
_atom_site_fract_y
_atom_site_fract_z
Sc1 Sc 0.169 0.000 0.339
Ag1 Ag 0.000 0.500 0.500
Ag2 Ag 0.168 0.000 0.837
Sn1 Sn 0.000 0.500 0.000
Se1 Se 0.006 0.000 0.261
Se2 Se 0.166 0.500 0.098
Se3 Se 0.174 0.500 0.578

***

# PBE ScAg2Sn3Se6, relaxed
# Fermi-level density of states = 6.59 states/eV/cell
# Uncorrected formation energy = -0.570 eV/atom
data_ScAg2Sn3Se6
_cell_length_a 7.131
_cell_length_b 12.398
_cell_length_c 7.101
_cell_angle_alpha 90.00
_cell_angle_beta 109.49
_cell_angle_gamma 90.00
_space_group_name_H-M_alt 'C 1 2/m 1'
_space_group_IT_number 12
loop_
_space_group_symop_operation_xyz
'x,y,z'
'-x,-y,-z'
'-x,y,-z'
'x,-y,z'
'x+1/2,y+1/2,z'
'-x+1/2,-y+1/2,-z'
'-x+1/2,y+1/2,-z'
'x+1/2,-y+1/2,z'
loop_
_atom_site_label
_atom_site_type_symbol
_atom_site_fract_x
_atom_site_fract_y
_atom_site_fract_z
Sc1 Sc 0.000 0.000 0.000
Ag1 Ag 0.000 0.329 0.000
Sn1 Sn 0.000 0.162 0.500
Sn2 Sn 0.000 0.500 0.500
Se1 Se 0.238 0.158 0.229
Se2 Se 0.241 0.000 0.761

***

# PBE ScAg2SnSe4, relaxed
# Fermi-level density of states = 7.42 states/eV/cell
# Uncorrected formation energy = -0.587 eV/atom
data_ScAg2SnSe4
_cell_length_a 8.699
_cell_length_b 7.560
_cell_length_c 7.119
_cell_angle_alpha 90.00
_cell_angle_beta 90.00
_cell_angle_gamma 90.00
_space_group_name_H-M_alt 'P m n 21'
_space_group_IT_number 31
loop_
_space_group_symop_operation_xyz
'x,y,z'
'-x+1/2,-y,z+1/2'
'-x,y,z'
'x+1/2,-y,z+1/2'
loop_
_atom_site_label
_atom_site_type_symbol
_atom_site_fract_x
_atom_site_fract_y
_atom_site_fract_z
Sc1 Sc 0.000 0.168 0.000
Ag1 Ag 0.249 0.312 0.515
Sn1 Sn 0.000 0.820 0.495
Se1 Se 0.000 0.158 0.365
Se2 Se 0.000 0.846 0.878
Se3 Se 0.235 0.349 0.885

***

# PBE Sr2ScAgSe4, relaxed
# Uncorrected formation energy = -1.486 eV/atom
data_Sr2ScAgSe4
_cell_length_a 7.172
_cell_length_b 4.213
_cell_length_c 7.438
_cell_angle_alpha 90.00
_cell_angle_beta 110.33
_cell_angle_gamma 90.00
_space_group_name_H-M_alt 'P 1 2/m 1'
_space_group_IT_number 10
loop_
_space_group_symop_operation_xyz
'x,y,z'
'-x,-y,-z'
'-x,y,-z'
'x,-y,z'
loop_
_atom_site_label
_atom_site_type_symbol
_atom_site_fract_x
_atom_site_fract_y
_atom_site_fract_z
Sr1 Sr 0.000 0.000 0.000
Sr2 Sr 0.000 0.500 0.500
Sc1 Sc 0.500 0.000 0.500
Ag1 Ag 0.500 0.500 0.000
Se1 Se 0.277 0.500 0.275
Se2 Se 0.285 0.000 0.746

***

# PBE SrScAgSe3, relaxed
# Uncorrected formation energy = -1.417 eV/atom
data_SrScAgSe3
_cell_length_a 8.106
_cell_length_b 4.084
_cell_length_c 9.323
_cell_angle_alpha 90.00
_cell_angle_beta 105.73
_cell_angle_gamma 90.00
_space_group_name_H-M_alt 'P 1 21/m 1'
_space_group_IT_number 11
loop_
_space_group_symop_operation_xyz
'x,y,z'
'-x,-y,-z'
'-x,y+1/2,-z'
'x,-y+1/2,z'
loop_
_atom_site_label
_atom_site_type_symbol
_atom_site_fract_x
_atom_site_fract_y
_atom_site_fract_z
Sr1 Sr 0.214 0.250 0.255
Sc1 Sc 0.321 0.750 0.840
Ag1 Ag 0.094 0.250 0.592
Se1 Se 0.100 0.250 0.874
Se2 Se 0.280 0.750 0.534
Se3 Se 0.444 0.750 0.144

***

# PBE Tb3ScAg4Se8, relaxed
# Uncorrected formation energy = -1.128 eV/atom
data_Tb3ScAg4Se8
_cell_length_a 13.799
_cell_length_b 8.278
_cell_length_c 8.092
_cell_angle_alpha 90.00
_cell_angle_beta 123.56
_cell_angle_gamma 90.00
_space_group_name_H-M_alt 'C 1 2/m 1'
_space_group_IT_number 12
loop_
_space_group_symop_operation_xyz
'x,y,z'
'-x,-y,-z'
'-x,y,-z'
'x,-y,z'
'x+1/2,y+1/2,z'
'-x+1/2,-y+1/2,-z'
'-x+1/2,y+1/2,-z'
'x+1/2,-y+1/2,z'
loop_
_atom_site_label
_atom_site_type_symbol
_atom_site_fract_x
_atom_site_fract_y
_atom_site_fract_z
Tb1 Tb 0.000 0.000 0.000
Tb2 Tb 0.250 0.250 0.500
Sc1 Sc 0.000 0.500 0.000
Ag1 Ag 0.000 0.000 0.500
Ag2 Ag 0.000 0.500 0.500
Ag3 Ag 0.250 0.250 0.000
Se1 Se 0.001 0.259 0.760
Se2 Se 0.243 0.500 0.244
Se3 Se 0.250 0.000 0.253

***

Asked for total energy across the records above, the calculation gives -19.42 -35.13 -34.94 -35.66 -37.98 -39.37 -110.87 -103.58 -69.35 -38.37 -59.64 -155.12 eV for the cell shown in order.
Asked for theoretical density across the records above, the calculation gives 6.015 6.700 6.890 6.884 6.208 6.306 6.089 6.120 4.932 5.073 5.335 6.834 g/cm³ in order.